{"formula": "Sr2In2Rh", "functional": "PBE", "state": "optimized geometry", "e_above_lowest_polymorph_kj_per_mol_fu": 0.0, "spacegroup": "C2/m", "crystal_system": "monoclinic", "formation_enthalpy_0k_mev_per_atom": -451, "lattice_angstrom": [[4.338, 0.000, 0.000], [2.169, 6.054, -0.415], [2.169, -0.413, 11.225]], "species": ["In", "In", "In", "In", "Sr", "Sr", "Sr", "Sr", "Rh", "Rh"], "fractional_positions": [[0.871, 0.812, 0.446], [0.636, 0.843, 0.885], [0.364, 0.157, 0.115], [0.129, 0.188, 0.554], [0.069, 0.732, 0.129], [0.344, 0.651, 0.662], [0.931, 0.268, 0.871], [0.656, 0.349, 0.338], [0.367, 0.943, 0.324], [0.633, 0.057, 0.676]]}



{"formula": "Y6AsSe2S3", "functional": "PBE", "state": "optimized geometry", "spacegroup": "C2/m", "formation_energy_uncorrected_ev_per_atom": -1.870, "crystal_system": "monoclinic", "lattice_angstrom": [[-2.014, 2.758, -2.073], [-1.144, -5.312, -5.955], [-5.953, -2.579, 6.204]], "species": ["Y", "Y", "Y", "Y", "Y", "Y", "As", "S", "S", "S", "Se", "Se"], "fractional_positions": [[0.340, 0.402, 0.679], [0.004, 0.748, 0.009], [0.996, 0.252, 0.991], [0.660, 0.598, 0.321], [0.667, 0.068, 0.335], [0.333, 0.932, 0.665], [0.500, 0.000, 0.000], [0.832, 0.166, 0.664], [0.168, 0.834, 0.336], [0.500, 0.500, 0.000], [0.168, 0.336, 0.337], [0.832, 0.664, 0.663]]}



{"formula": "NdPaNbN4", "functional": "PBE", "state": "optimized geometry", "spacegroup": "Cmcm", "formation_energy_uncorrected_ev_per_atom": -1.174, "crystal_system": "orthorhombic", "lattice_angstrom": [[-1.967, -5.096, 1.664], [5.173, -2.283, -0.875], [2.547, 3.851, 5.009]], "species": ["Pa", "Pa", "N", "N", "N", "N", "N", "N", "N", "N", "Nd", "Nd", "Nb", "Nb"], "fractional_positions": [[0.890, 0.750, 0.780], [0.110, 0.250, 0.220], [0.000, 0.500, 0.500], [0.941, 0.250, 0.882], [0.000, 0.000, 0.500], [0.059, 0.750, 0.118], [0.500, 0.500, 0.500], [0.500, 0.000, 0.500], [0.423, 0.750, 0.845], [0.577, 0.250, 0.155], [0.393, 0.250, 0.786], [0.607, 0.750, 0.214], [0.262, 0.750, 0.524], [0.738, 0.250, 0.476]]}



{"formula": "ScTaTl2Si", "functional": "PBE", "state": "optimized geometry", "spacegroup": "P4/mmm", "formation_energy_uncorrected_ev_per_atom": 1.463, "crystal_system": "tetragonal", "lattice_angstrom": [[5.319, 0.000, 0.000], [0.000, 4.875, 0.000], [0.000, 0.000, 5.319]], "species": ["Si", "Tl", "Tl", "Sc", "Ta"], "fractional_positions": [[0.000, 0.500, 0.000], [0.500, 0.000, 0.000], [0.000, 0.000, 0.500], [0.000, 0.000, 0.000], [0.500, 0.500, 0.500]]}



{"formula": "K2NpBO6", "functional": "PBE", "state": "optimized geometry", "spacegroup": "I4/mmm", "formation_energy_uncorrected_ev_per_atom": -2.300, "crystal_system": "tetragonal", "lattice_angstrom": [[5.932, 0.734, -0.002], [0.733, 5.932, -0.002], [3.337, 3.338, 4.717]], "species": ["K", "K", "O", "O", "O", "O", "O", "O", "Np", "B"], "fractional_positions": [[0.250, 0.750, 0.500], [0.750, 0.250, 0.500], [0.201, 0.201, 0.999], [0.799, 0.799, 0.402], [0.201, 0.201, 0.598], [0.672, 0.328, 0.000], [0.799, 0.799, 0.001], [0.328, 0.672, 0.000], [0.000, 0.000, 0.000], [0.500, 0.500, 0.000]]}



{"formula": "ZrBe2As", "functional": "PBE", "state": "optimized geometry", "spacegroup": "Imm2", "crystal_system": "orthorhombic", "formation_enthalpy_0k_mev_per_atom": -262, "lattice_angstrom": [[5.111, 0.116, -0.010], [2.516, 4.450, 0.010], [-3.822, -2.268, 2.526]], "species": ["Be", "Be", "Zr", "As"], "fractional_positions": [[0.933, 0.933, 0.000], [0.776, 0.276, 0.500], [0.523, 0.523, 0.000], [0.268, 0.768, 0.500]]}



{"formula": "MnInSb2", "functional": "PBE", "state": "optimized geometry", "spacegroup": "I4/mmm", "formation_energy_uncorrected_ev_per_atom": 0.314, "crystal_system": "tetragonal", "lattice_angstrom": [[0.002, -0.314, 5.418], [3.111, -4.338, 0.976], [1.174, 4.309, -3.083]], "species": ["In", "Sb", "Sb", "Mn"], "fractional_positions": [[0.250, 0.750, 0.500], [0.000, 0.000, 0.000], [0.500, 0.500, 0.000], [0.750, 0.250, 0.500]]}



{"formula": "Cs2PmNp3O12", "functional": "PBE", "state": "optimized geometry", "spacegroup": "R-3m", "formation_energy_uncorrected_ev_per_atom": -2.750, "crystal_system": "trigonal", "lattice_angstrom": [[-6.243, -4.632, 1.318], [0.840, -7.802, -0.769], [-0.093, -4.480, 6.488]], "species": ["O", "O", "O", "O", "O", "O", "O", "O", "O", "O", "O", "O", "Np", "Np", "Np", "Cs", "Cs", "Pm"], "fractional_positions": [[0.693, 0.073, 0.693], [0.927, 0.307, 0.307], [0.307, 0.927, 0.307], [0.073, 0.693, 0.693], [0.075, 0.075, 0.650], [0.925, 0.925, 0.350], [0.693, 0.693, 0.073], [0.075, 0.650, 0.075], [0.307, 0.307, 0.927], [0.650, 0.075, 0.075], [0.350, 0.925, 0.925], [0.925, 0.350, 0.925], [0.000, 0.500, 0.000], [0.500, 0.000, 0.000], [0.000, 0.000, 0.500], [0.380, 0.380, 0.380], [0.620, 0.620, 0.620], [0.000, 0.000, 0.000]]}



{"formula": "SmHRh", "functional": "PBE", "state": "optimized geometry", "e_above_lowest_polymorph_kj_per_mol_fu": 0.0, "spacegroup": "Pnma", "crystal_system": "orthorhombic", "lattice_angstrom": [[3.526, 0.000, 0.000], [0.000, 5.848, 0.000], [0.000, 0.000, 9.110]], "species": ["Sm", "Sm", "Sm", "Sm", "Rh", "Rh", "Rh", "Rh", "H", "H", "H", "H"], "fractional_positions": [[0.750, 0.145, 0.839], [0.250, 0.645, 0.661], [0.250, 0.855, 0.161], [0.750, 0.355, 0.339], [0.250, 0.162, 0.572], [0.750, 0.662, 0.928], [0.250, 0.338, 0.072], [0.750, 0.838, 0.428], [0.750, 0.266, 0.593], [0.250, 0.734, 0.407], [0.250, 0.766, 0.907], [0.750, 0.234, 0.093]]}



{"formula": "DyAlGa", "functional": "PBE", "state": "optimized geometry", "spacegroup": "C2/m", "crystal_system": "monoclinic", "formation_enthalpy_0k_mev_per_atom": -574, "lattice_angstrom": [[3.966, 0.000, 1.645], [1.750, 5.300, 1.384], [-0.117, 0.222, 5.884]], "species": ["Al", "Al", "Ga", "Ga", "Dy", "Dy"], "fractional_positions": [[0.162, 0.777, 0.899], [0.838, 0.223, 0.101], [0.837, 0.618, 0.708], [0.163, 0.382, 0.292], [0.441, 0.805, 0.313], [0.559, 0.195, 0.687]]}



{"formula": "PuThBiAu", "functional": "PBE", "state": "optimized geometry", "spacegroup": "F-43m", "crystal_system": "cubic", "formation_enthalpy_0k_mev_per_atom": -386, "lattice_angstrom": [[5.398, 0.000, 0.000], [2.699, 4.675, 0.000], [2.699, 1.558, 4.408]], "species": ["Pu", "Th", "Bi", "Au"], "fractional_positions": [[0.750, 0.750, 0.750], [0.250, 0.250, 0.250], [0.500, 0.500, 0.500], [0.000, 0.000, 0.000]]}



{"formula": "SiTc2Mo", "functional": "PBE", "state": "optimized geometry", "spacegroup": "Cmmm", "formation_energy_uncorrected_ev_per_atom": 0.011, "crystal_system": "orthorhombic", "lattice_angstrom": [[2.761, -0.022, 0.000], [-1.072, 2.545, 0.000], [0.000, 0.000, 8.300]], "species": ["Tc", "Tc", "Si", "Mo"], "fractional_positions": [[0.000, 0.000, 0.517], [0.000, 0.000, 0.983], [0.500, 0.500, 0.750], [0.500, 0.500, 0.250]]}



Short version: magnetic moment = 0.000 0.000 0.018 0.000 0.000 0.000 0.983 0.111 0.000 0.000 1.842 0.000 μB per atom, in the order given.